No. 1
# Pr2TiCrO6 | the Alexandria database | PBE+U | relaxed
# VASP energy = -8.296 eV per atom
# Volume = 121 Å³/f.u.
# Size of the total moment = 0.2135 μB per atom
# Fermi-level density of states = 0.31 states/eV/atom
# Crystal system = tetragonal
data_Pr2TiCrO6
_cell_length_a 5.544
_cell_length_b 5.544
_cell_length_c 3.936
_cell_angle_alpha 90.00
_cell_angle_beta 90.00
_cell_angle_gamma 90.00
_symmetry_space_group_name_H-M 'P 4 m m'
_symmetry_Int_Tables_number 99
_symmetry_space_group_name_Hall 'P 4 -2'
loop_
_atom_site_label
_atom_site_type_symbol
_atom_site_fract_x
_atom_site_fract_y
_atom_site_fract_z
Pr1 Pr 0.000 0.500 0.000
Ti1 Ti 0.000 0.000 0.503
Cr1 Cr 0.500 0.500 0.503
O1 O 0.000 0.000 0.003
O2 O 0.250 0.250 0.504
O3 O 0.500 0.500 0.003

No. 2
# PrTlCr2O8 | the Alexandria database | PBE+U | relaxed
# VASP energy = -6.816 eV per atom
# Volume = 193 Å³/f.u.
# Size of the total moment = 0.0000 μB per atom
# Crystal system = tetragonal
data_PrTlCr2O8
_cell_length_a 7.652
_cell_length_b 7.652
_cell_length_c 6.592
_cell_angle_alpha 90.00
_cell_angle_beta 90.00
_cell_angle_gamma 90.00
_symmetry_space_group_name_H-M 'I -4 m 2'
_symmetry_Int_Tables_number 119
_symmetry_space_group_name_Hall 'I -4 -2'
loop_
_atom_site_label
_atom_site_type_symbol
_atom_site_fract_x
_atom_site_fract_y
_atom_site_fract_z
Pr1 Pr 0.000 0.000 0.000
Tl1 Tl 0.000 0.500 0.250
Cr1 Cr 0.000 0.000 0.500
Cr2 Cr 0.000 0.500 0.750
O1 O 0.000 0.167 0.336
O2 O 0.000 0.321 0.898

No. 3
# Pr2VCrO6 | the Alexandria database | PBE+U | relaxed
# VASP energy = -8.169 eV per atom
# Volume = 124 Å³/f.u.
# Size of the total moment = 0.5000 μB per atom
# Fermi-level density of states = 0.00 states/eV/atom
# Crystal system = monoclinic
data_Pr2VCrO6
_cell_length_a 5.511
_cell_length_b 5.728
_cell_length_c 9.569
_cell_angle_alpha 90.00
_cell_angle_beta 125.09
_cell_angle_gamma 90.00
_symmetry_space_group_name_H-M 'P 1 21/c 1'
_symmetry_Int_Tables_number 14
_symmetry_space_group_name_Hall '-P 2ybc'
loop_
_atom_site_label
_atom_site_type_symbol
_atom_site_fract_x
_atom_site_fract_y
_atom_site_fract_z
Pr1 Pr 0.236 0.051 0.250
V1 V 0.000 0.000 0.500
Cr1 Cr 0.500 0.000 0.000
O1 O 0.160 0.202 0.953
O2 O 0.248 0.708 0.953
O3 O 0.338 0.027 0.749

No. 4
# PrZn3Cr4O12 | the Alexandria database | PBE+U | relaxed
# VASP energy = -6.667 eV per atom
# Volume = 209 Å³/f.u.
# Size of the total moment = 0.4500 μB per atom
# Fermi-level density of states = 0.16 states/eV/atom
# Crystal system = cubic
data_PrZn3Cr4O12
_cell_length_a 7.478
_cell_length_b 7.478
_cell_length_c 7.478
_cell_angle_alpha 90.00
_cell_angle_beta 90.00
_cell_angle_gamma 90.00
_symmetry_space_group_name_H-M 'I m -3'
_symmetry_Int_Tables_number 204
_symmetry_space_group_name_Hall '-I 2 2 3'
loop_
_atom_site_label
_atom_site_type_symbol
_atom_site_fract_x
_atom_site_fract_y
_atom_site_fract_z
Pr1 Pr 0.000 0.000 0.000
Zn1 Zn 0.000 0.000 0.500
Cr1 Cr 0.250 0.250 0.250
O1 O 0.000 0.298 0.184

No. 5
# PrZnCr2O6 | the Alexandria database | PBE+U | relaxed
# VASP energy = -7.105 eV per atom
# Volume = 111 Å³/f.u.
# Size of the total moment = 0.5000 μB per atom
# Fermi-level density of states = 0.21 states/eV/atom
# Crystal system = orthorhombic
data_PrZnCr2O6
_cell_length_a 7.782
_cell_length_b 5.386
_cell_length_c 5.314
_cell_angle_alpha 90.00
_cell_angle_beta 90.00
_cell_angle_gamma 90.00
_symmetry_space_group_name_H-M 'P m n 21'
_symmetry_Int_Tables_number 31
_symmetry_space_group_name_Hall 'P 2ac -2'
loop_
_atom_site_label
_atom_site_type_symbol
_atom_site_fract_x
_atom_site_fract_y
_atom_site_fract_z
Pr1 Pr 0.000 0.202 0.000
Zn1 Zn 0.000 0.720 0.490
Cr1 Cr 0.248 0.261 0.489
O1 O 0.000 0.311 0.573
O2 O 0.000 0.771 0.873
O3 O 0.194 0.941 0.311
O4 O 0.199 0.462 0.203

No. 6
# CrPtO2 | the Alexandria database | PBE+U | relaxed
# VASP energy = -6.285 eV per atom
# Volume = 55 Å³/f.u.
# Size of the total moment = 0.4815 μB per atom
# Fermi-level density of states = 0.66 states/eV/atom
# Crystal system = tetragonal
data_CrPtO2
_cell_length_a 4.640
_cell_length_b 4.640
_cell_length_c 10.186
_cell_angle_alpha 90.00
_cell_angle_beta 90.00
_cell_angle_gamma 90.00
_symmetry_space_group_name_H-M 'I -4 2 d'
_symmetry_Int_Tables_number 122
_symmetry_space_group_name_Hall 'I -4 2bw'
loop_
_atom_site_label
_atom_site_type_symbol
_atom_site_fract_x
_atom_site_fract_y
_atom_site_fract_z
Cr1 Cr 0.000 0.000 0.000
Pt1 Pt 0.000 0.000 0.500
O1 O 0.191 0.250 0.125

No. 7
# CrPtO2 | the Alexandria database | PBE+U | relaxed
# VASP energy = -7.180 eV per atom
# Volume = 46 Å³/f.u.
# Size of the total moment = 0.7463 μB per atom
# Fermi-level density of states = 0.10 states/eV/atom
# Crystal system = trigonal
data_CrPtO2
_cell_length_a 2.9462
_cell_length_b 2.9462
_cell_length_c 18.2919
_cell_angle_alpha 90.00
_cell_angle_beta 90.00
_cell_angle_gamma 120.00
_symmetry_space_group_name_H-M 'R -3 m'
_symmetry_Int_Tables_number 166
_symmetry_space_group_name_Hall '-R 3 2"'
loop_
_atom_site_label
_atom_site_type_symbol
_atom_site_fract_x
_atom_site_fract_y
_atom_site_fract_z
Cr1 Cr 0.0000 0.0000 0.0000
Pt1 Pt 0.0000 0.0000 0.5000
O1 O 0.0000 0.0000 0.3897

No. 8
# CrPtO2 | the Alexandria database | PBE+U | relaxed
# VASP energy = -5.268 eV per atom
# Volume = 43 Å³/f.u.
# Size of the total moment = 0.4587 μB per atom
# Fermi-level density of states = 1.17 states/eV/atom
# Crystal system = cubic
data_CrPtO2
_cell_length_a 5.577
_cell_length_b 5.577
_cell_length_c 5.577
_cell_angle_alpha 90.00
_cell_angle_beta 90.00
_cell_angle_gamma 90.00
_symmetry_space_group_name_H-M 'F m -3 m'
_symmetry_Int_Tables_number 225
_symmetry_space_group_name_Hall '-F 4 2 3'
loop_
_atom_site_label
_atom_site_type_symbol
_atom_site_fract_x
_atom_site_fract_y
_atom_site_fract_z
Cr1 Cr 0.000 0.000 0.000
Pt1 Pt 0.000 0.000 0.500
O1 O 0.250 0.250 0.250

No. 9
# Cr3PtO | the Alexandria database | PBE+U | relaxed
# VASP energy = -7.129 eV per atom
# Volume = 74 Å³/f.u.
# Size of the total moment = 2.3545 μB per atom
# Fermi-level density of states = 0.27 states/eV/atom
# Crystal system = cubic
data_Cr3PtO
_cell_length_a 4.192
_cell_length_b 4.192
_cell_length_c 4.192
_cell_angle_alpha 90.00
_cell_angle_beta 90.00
_cell_angle_gamma 90.00
_symmetry_space_group_name_H-M 'P m -3 m'
_symmetry_Int_Tables_number 221
_symmetry_space_group_name_Hall '-P 4 2 3'
loop_
_atom_site_label
_atom_site_type_symbol
_atom_site_fract_x
_atom_site_fract_y
_atom_site_fract_z
Cr1 Cr 0.000 0.000 0.500
Pt1 Pt 0.500 0.500 0.500
O1 O 0.000 0.000 0.000

No. 10
# Cr3Pt2O8 | the Alexandria database | PBE+U | relaxed
# VASP energy = -6.816 eV per atom
# Volume = 147 Å³/f.u.
# Size of the total moment = 0.7581 μB per atom
# Fermi-level density of states = 0.21 states/eV/atom
# Crystal system = monoclinic
data_Cr3Pt2O8
_cell_length_a 9.527
_cell_length_b 6.193
_cell_length_c 4.983
_cell_angle_alpha 90.00
_cell_angle_beta 92.61
_cell_angle_gamma 90.00
_symmetry_space_group_name_H-M 'C 1 2/m 1'
_symmetry_Int_Tables_number 12
_symmetry_space_group_name_Hall '-C 2y'
loop_
_atom_site_label
_atom_site_type_symbol
_atom_site_fract_x
_atom_site_fract_y
_atom_site_fract_z
Cr1 Cr 0.000 0.000 0.000
Cr2 Cr 0.000 0.254 0.500
Pt1 Pt 0.226 0.500 0.995
O1 O 0.101 0.500 0.666
O2 O 0.111 0.000 0.681
O3 O 0.132 0.229 0.166

No. 11
# Cr3PtO | the Alexandria database | PBE+U | relaxed
# VASP energy = -5.614 eV per atom
# Volume = 124 Å³/f.u.
# Size of the total moment = 2.7800 μB per atom
# Fermi-level density of states = 0.71 states/eV/atom
# Crystal system = cubic
data_Cr3PtO
_cell_length_a 4.991
_cell_length_b 4.991
_cell_length_c 4.991
_cell_angle_alpha 90.00
_cell_angle_beta 90.00
_cell_angle_gamma 90.00
_symmetry_space_group_name_H-M 'P m -3 m'
_symmetry_Int_Tables_number 221
_symmetry_space_group_name_Hall '-P 4 2 3'
loop_
_atom_site_label
_atom_site_type_symbol
_atom_site_fract_x
_atom_site_fract_y
_atom_site_fract_z
Cr1 Cr 0.000 0.000 0.500
Pt1 Pt 0.000 0.000 0.000
O1 O 0.500 0.500 0.500

No. 12
# Cr2PtO6 | the Alexandria database | PBE+U | relaxed
# VASP energy = -6.849 eV per atom
# Volume = 100 Å³/f.u.
# Size of the total moment = 0.4436 μB per atom
# Fermi-level density of states = 0.25 states/eV/atom
# Crystal system = orthorhombic
data_Cr2PtO6
_cell_length_a 4.549
_cell_length_b 5.246
_cell_length_c 8.348
_cell_angle_alpha 90.00
_cell_angle_beta 90.00
_cell_angle_gamma 90.00
_symmetry_space_group_name_H-M 'P n n m'
_symmetry_Int_Tables_number 58
_symmetry_space_group_name_Hall '-P 2 2n'
loop_
_atom_site_label
_atom_site_type_symbol
_atom_site_fract_x
_atom_site_fract_y
_atom_site_fract_z
Cr1 Cr 0.000 0.000 0.185
Pt1 Pt 0.000 0.500 0.000
O1 O 0.202 0.158 0.000
O2 O 0.234 0.674 0.170

No. 13
# CrPtO2 | the Alexandria database | PBE+U | relaxed
# VASP energy = -7.182 eV per atom
# Volume = 47 Å³/f.u.
# Size of the total moment = 0.7426 μB per atom
# Fermi-level density of states = 0.35 states/eV/atom
# Crystal system = hexagonal
data_CrPtO2
_cell_length_a 2.9789
_cell_length_b 2.9789
_cell_length_c 12.2366
_cell_angle_alpha 90.00
_cell_angle_beta 90.00
_cell_angle_gamma 120.00
_symmetry_space_group_name_H-M 'P 63/m m c'
_symmetry_Int_Tables_number 194
_symmetry_space_group_name_Hall '-P 6c 2c'
loop_
_atom_site_label
_atom_site_type_symbol
_atom_site_fract_x
_atom_site_fract_y
_atom_site_fract_z
Cr1 Cr 0.0000 0.0000 0.0000
Pt1 Pt 0.3333 0.6667 0.2500
O1 O 0.3333 0.6667 0.0839

No. 14
# CrPt3O8 | the Alexandria database | PBE+U | relaxed
# VASP energy = -6.153 eV per atom
# Volume = 147 Å³/f.u.
# Size of the total moment = 0.1619 μB per atom
# Fermi-level density of states = 0.13 states/eV/atom
# Crystal system = hexagonal
data_CrPt3O8
_cell_length_a 6.1897
_cell_length_b 6.1897
_cell_length_c 8.8645
_cell_angle_alpha 90.00
_cell_angle_beta 90.00
_cell_angle_gamma 120.00
_symmetry_space_group_name_H-M 'P 63 m c'
_symmetry_Int_Tables_number 186
_symmetry_space_group_name_Hall 'P 6c -2c'
loop_
_atom_site_label
_atom_site_type_symbol
_atom_site_fract_x
_atom_site_fract_y
_atom_site_fract_z
Cr1 Cr 0.3333 0.6667 0.0000
Pt1 Pt 0.1673 0.3346 0.7183
O1 O 0.0000 0.0000 0.3294
O2 O 0.0460 0.5230 0.8489
O3 O 0.1629 0.3258 0.1064
O4 O 0.3333 0.6667 0.6066

No. 15
# CrPtO2 | the Alexandria database | PBE+U | relaxed
# VASP energy = -6.217 eV per atom
# Volume = 56 Å³/f.u.
# Size of the total moment = 0.9979 μB per atom
# Fermi-level density of states = 0.24 states/eV/atom
# Crystal system = trigonal
data_CrPtO2
_cell_length_a 3.4007
_cell_length_b 3.4007
_cell_length_c 16.7966
_cell_angle_alpha 90.00
_cell_angle_beta 90.00
_cell_angle_gamma 120.00
_symmetry_space_group_name_H-M 'R -3 m'
_symmetry_Int_Tables_number 166
_symmetry_space_group_name_Hall '-R 3 2"'
loop_
_atom_site_label
_atom_site_type_symbol
_atom_site_fract_x
_atom_site_fract_y
_atom_site_fract_z
Cr1 Cr 0.0000 0.0000 0.0000
Pt1 Pt 0.0000 0.0000 0.5000
O1 O 0.0000 0.0000 0.1176

No. 16
# Rb2CrPt3O12 | the Alexandria database | PBE+U | relaxed
# VASP energy = -5.555 eV per atom
# Volume = 260 Å³/f.u.
# Size of the total moment = 0.1319 μB per atom
# Fermi-level density of states = 0.56 states/eV/atom
# Crystal system = trigonal
data_Rb2CrPt3O12
_cell_length_a 7.1497
_cell_length_b 7.1497
_cell_length_c 17.6012
_cell_angle_alpha 90.00
_cell_angle_beta 90.00
_cell_angle_gamma 120.00
_symmetry_space_group_name_H-M 'R -3 m'
_symmetry_Int_Tables_number 166
_symmetry_space_group_name_Hall '-R 3 2"'
loop_
_atom_site_label
_atom_site_type_symbol
_atom_site_fract_x
_atom_site_fract_y
_atom_site_fract_z
Rb1 Rb 0.0000 0.0000 0.1328
Cr1 Cr 0.0000 0.0000 0.5000
Pt1 Pt 0.0000 0.5000 0.0000
O1 O 0.0653 0.5327 0.3654
O2 O 0.0883 0.5441 0.1081

No. 17
# CrPtRhO6 | the Alexandria database | PBE+U | relaxed
# VASP energy = -6.506 eV per atom
# Volume = 95 Å³/f.u.
# Size of the total moment = 0.1098 μB per atom
# Fermi-level density of states = 0.48 states/eV/atom
# Crystal system = trigonal
data_CrPtRhO6
_cell_length_a 5.0720
_cell_length_b 5.0720
_cell_length_c 8.5596
_cell_angle_alpha 90.00
_cell_angle_beta 90.00
_cell_angle_gamma 120.00
_symmetry_space_group_name_H-M 'P -3 1 c'
_symmetry_Int_Tables_number 163
_symmetry_space_group_name_Hall '-P 3 2c'
loop_
_atom_site_label
_atom_site_type_symbol
_atom_site_fract_x
_atom_site_fract_y
_atom_site_fract_z
Cr1 Cr 0.3333 0.6667 0.2500
Pt1 Pt 0.3333 0.6667 0.7500
Rh1 Rh 0.0000 0.0000 0.0000
O1 O 0.0068 0.3422 0.1241

No. 18
# Cr2SiPtO | the Alexandria database | PBE+U | relaxed
# VASP energy = -5.717 eV per atom
# Volume = 100 Å³/f.u.
# Size of the total moment = 1.5791 μB per atom
# Fermi-level density of states = 0.76 states/eV/atom
# Crystal system = tetragonal
data_Cr2SiPtO
_cell_length_a 5.231
_cell_length_b 5.231
_cell_length_c 3.671
_cell_angle_alpha 90.00
_cell_angle_beta 90.00
_cell_angle_gamma 90.00
_symmetry_space_group_name_H-M 'P 4/m m m'
_symmetry_Int_Tables_number 123
_symmetry_space_group_name_Hall '-P 4 2'
loop_
_atom_site_label
_atom_site_type_symbol
_atom_site_fract_x
_atom_site_fract_y
_atom_site_fract_z
Cr1 Cr 0.000 0.500 0.000
Si1 Si 0.000 0.000 0.500
Pt1 Pt 0.500 0.500 0.000
O1 O 0.500 0.500 0.500

No. 19
# Sr2CrPtO | the Alexandria database | PBE+U | relaxed
# VASP energy = -5.502 eV per atom
# Volume = 110 Å³/f.u.
# Size of the total moment = 0.8501 μB per atom
# Fermi-level density of states = 0.27 states/eV/atom
# Crystal system = tetragonal
data_Sr2CrPtO
_cell_length_a 5.190
_cell_length_b 5.190
_cell_length_c 4.072
_cell_angle_alpha 90.00
_cell_angle_beta 90.00
_cell_angle_gamma 90.00
_symmetry_space_group_name_H-M 'P 4/m m m'
_symmetry_Int_Tables_number 123
_symmetry_space_group_name_Hall '-P 4 2'
loop_
_atom_site_label
_atom_site_type_symbol
_atom_site_fract_x
_atom_site_fract_y
_atom_site_fract_z
Sr1 Sr 0.000 0.500 0.000
Cr1 Cr 0.000 0.000 0.500
Pt1 Pt 0.500 0.500 0.500
O1 O 0.000 0.000 0.000

No. 20
# SrCr2PtO8 | the Alexandria database | PBE+U | relaxed
# VASP energy = -6.610 eV per atom
# Volume = 208 Å³/f.u.
# Size of the total moment = 0.0000 μB per atom
# Crystal system = triclinic
data_SrCr2PtO8
_cell_length_a 4.968
_cell_length_b 5.814
_cell_length_c 7.998
_cell_angle_alpha 77.71
_cell_angle_beta 87.73
_cell_angle_gamma 67.09
_symmetry_space_group_name_H-M 'P -1'
_symmetry_Int_Tables_number 2
_symmetry_space_group_name_Hall '-P 1'
loop_
_atom_site_label
_atom_site_type_symbol
_atom_site_fract_x
_atom_site_fract_y
_atom_site_fract_z
Sr1 Sr 0.000 0.000 0.000
Cr1 Cr 0.387 0.303 0.250
Pt1 Pt 0.000 0.000 0.500
O1 O 0.208 0.227 0.423
O2 O 0.236 0.871 0.721
O3 O 0.293 0.233 0.079
O4 O 0.312 0.612 0.214